Entry from Alexandria: a relaxed Rb3BaCa crystal (PBE-GGA).

The structure belongs to space group Pm-3m (No. 221); the cell edges are 7.7379, 7.7379 and 7.7379 Å and the angles 90.00°, 90.00° and 90.00°. The distinct sites, in fractional coordinates, are Rb at (0.0000, 0.0000, 0.5000), Ba at (0.5000, 0.5000, 0.5000) and Ca at (0.0000, 0.0000, 0.0000).

The energy of formation comes out at 464 meV per atom. As for the volume: 92.7 Å³/atom. The value obtained for the offset from the most stable computed form is 0.000 eV/atom.

Entry from Alexandria: a relaxed TmZnGa crystal (PBE-GGA).

The structure belongs to space group P-6m2 (No. 187); the cell edges are 4.4006, 4.4006 and 3.4921 Å and the angles 90.00°, 90.00° and 120.00°. The distinct sites, in fractional coordinates, are Tm at (0.0000, 0.0000, 0.0000), Zn at (0.3333, 0.6667, 0.5000) and Ga at (0.6667, 0.3333, 0.5000).

The energy of formation comes out at -540 meV per atom. As for the volume: 19.5 Å³/atom.

Entry from Alexandria: a relaxed LiMgSiOs crystal (PBE-GGA).

The structure belongs to space group F-43m (No. 216); the cell edges are 6.0451, 6.0451 and 6.0451 Å and the angles 90.00°, 90.00° and 90.00°. The distinct sites, in fractional coordinates, are Li at (0.0000, 0.0000, 0.0000), Mg at (0.2500, 0.2500, 0.2500), Si at (0.2500, 0.2500, 0.7500) and Os at (0.0000, 0.0000, 0.5000).

As for the formation energy from raw total energies: -58 kJ/mol of formula units. As for the volume: 13.8 Å³/atom.

Entry from Alexandria: a relaxed Be6Pd crystal (PBE-GGA).

The structure belongs to space group Im-3m (No. 229); the cell edges are 5.6084, 5.6084 and 5.6084 Å and the angles 90.00°, 90.00° and 90.00°. The distinct sites, in fractional coordinates, are Be at (0.0000, 0.2500, 0.5000) and Pd at (0.0000, 0.0000, 0.0000).

The energy of formation comes out at 1211 meV per atom. As for the volume: 12.6 Å³/atom. The value obtained for the offset from the most stable computed form is 1.324 eV/atom.

Entry from Alexandria: a relaxed Li2Hg2Pb crystal (PBE-GGA).

The structure belongs to space group C2/m (No. 12); the cell edges are 8.3624, 5.0291 and 5.4179 Å and the angles 90.00°, 107.47° and 90.00°. The distinct sites, in fractional coordinates, are Li at (0.1162, 0.0000, 0.2927), Hg at (0.2494, 0.5000, 0.1553) and Pb at (0.0000, 0.5000, 0.5000).

The energy of formation comes out at -234 meV per atom. As for the volume: 21.7 Å³/atom. The value obtained for the offset from the most stable computed form is 0.038 eV/atom.

Entry from Alexandria: a relaxed CoTcAs2 crystal (PBE-GGA).

The structure belongs to space group Pmm2 (No. 25); the cell edges are 3.0628, 3.6437 and 5.1847 Å and the angles 90.00°, 90.00° and 90.00°. The distinct sites, in fractional coordinates, are Co at (0.0000, 0.0000, 0.0000), Tc at (0.5000, 0.5000, 0.3492), As at (0.0000, 0.0000, 0.5155) and As at (0.5000, 0.5000, 0.8721).

The energy of formation comes out at -35 meV per atom. As for the volume: 14.5 Å³/atom. The value obtained for the offset from the most stable computed form is 0.041 eV/atom.

Entry from Alexandria: a relaxed TlPtAu2 crystal (PBE-GGA).

The structure belongs to space group R-3m (No. 166, hexagonal axes); the cell edges are 3.0135, 3.0135 and 30.2365 Å and the angles 90.00°, 90.00° and 120.00°. The distinct sites, in fractional coordinates, are Tl at (0.0000, 0.0000, 0.0000), Pt at (0.0000, 0.0000, 0.5000) and Au at (0.0000, 0.0000, 0.2416).

The energy of formation comes out at 231 meV per atom. As for the volume: 19.8 Å³/atom. The value obtained for the offset from the most stable computed form is 0.155 eV/atom.

Entry from Alexandria: a relaxed BaY crystal (PBE-GGA).

The structure belongs to space group I4_1/amd (No. 141, origin choice 2); the cell edges are 5.7007, 5.7007 and 10.4931 Å and the angles 90.00°, 90.00° and 90.00°. The distinct sites, in fractional coordinates, are Ba at (0.0000, 0.2500, 0.3750) and Y at (0.0000, 0.2500, 0.8750).

The energy of formation comes out at 302 meV per atom. As for the volume: 42.6 Å³/atom. The value obtained for the offset from the most stable computed form is 0.143 eV/atom.

Entry from Alexandria: a relaxed Hf5MoOs4 crystal (PBE-GGA).

The structure belongs to space group P4/mmm (No. 123); the cell edges are 3.2532, 3.2532 and 16.4668 Å and the angles 90.00°, 90.00° and 90.00°. The distinct sites, in fractional coordinates, are Hf at (0.0000, 0.0000, 0.0000), Hf at (0.0000, 0.0000, 0.1989), Hf at (0.0000, 0.0000, 0.3972), Mo at (0.5000, 0.5000, 0.5000), Os at (0.5000, 0.5000, 0.0987) and Os at (0.5000, 0.5000, 0.2962).

The energy of formation comes out at -576 meV per atom. As for the volume: 17.4 Å³/atom.

Entry from Alexandria: a relaxed Li2HoIO6 crystal (PBE-GGA).

The structure belongs to space group R-3 (No. 148, hexagonal axes); the cell edges are 5.2081, 5.2081 and 15.1610 Å and the angles 90.00°, 90.00° and 120.00°. The distinct sites, in fractional coordinates, are Li at (0.0000, 0.0000, 0.2000), Ho at (0.0000, 0.0000, 0.0000), I at (0.0000, 0.0000, 0.5000) and O at (0.0205, 0.6411, 0.2375).

As for the formation energy from raw total energies: -1691 kJ/mol of formula units. As for the volume: 11.9 Å³/atom.

Entry from Alexandria: a relaxed CeTm3Te6 crystal (PBE-GGA).

The structure belongs to space group P2_1/m (No. 11); the cell edges are 12.4335, 4.3590 and 12.7450 Å and the angles 90.00°, 109.32° and 90.00°. The distinct sites, in fractional coordinates, are Ce at (0.0477, 0.2500, 0.1978), Tm at (0.1552, 0.2500, 0.5829), Tm at (0.3180, 0.7500, 0.9994), Tm at (0.4370, 0.2500, 0.3356), Te at (0.0847, 0.7500, 0.4048), Te at (0.1177, 0.2500, 0.9669), Te at (0.1971, 0.7500, 0.7503), Te at (0.2604, 0.7500, 0.2244), Te at (0.3907, 0.2500, 0.5594) and Te at (0.4822, 0.2500, 0.1167).

As for the formation energy from raw total energies: -1305 kJ/mol of formula units. As for the volume: 32.6 Å³/atom.

Entry from Alexandria: a relaxed Tb3CeSc2Se6 crystal (PBE-GGA).

The structure belongs to space group C2/m (No. 12); the cell edges are 6.9938, 12.1551 and 7.0095 Å and the angles 90.00°, 109.71° and 90.00°. The distinct sites, in fractional coordinates, are Tb at (0.0000, 0.0000, 0.0000), Tb at (0.0000, 0.3397, 0.0000), Ce at (0.0000, 0.5000, 0.5000), Sc at (0.0000, 0.1679, 0.5000), Se at (0.2300, 0.0000, 0.7363) and Se at (0.2449, 0.1741, 0.2563).

As for the formation energy from raw total energies: -1976 kJ/mol of formula units. As for the volume: 23.4 Å³/atom.

Number 1: total energy -0.9015 eV per atom, spin magnetization 0.00 μB per cell, DOS at the Fermi energy 1.266 states/eV per atom. Number 2: total energy -3.4640 eV per atom, spin magnetization 0.00 μB per cell, DOS at the Fermi energy 0.500 states/eV per atom. Number 3: total energy -5.1915 eV per atom, spin magnetization 0.00 μB per cell, DOS at the Fermi energy 0.715 states/eV per atom. Number 4: total energy -2.7248 eV per atom, spin magnetization 0.00 μB per cell, DOS at the Fermi energy 0.286 states/eV per atom. Number 5: total energy -1.8619 eV per atom, spin magnetization 0.00 μB per cell, DOS at the Fermi energy 0.222 states/eV per atom. Number 6: total energy -6.7281 eV per atom, spin magnetization 0.46 μB per cell, DOS at the Fermi energy 0.888 states/eV per atom. Number 7: total energy -3.5090 eV per atom, spin magnetization 0.00 μB per cell, DOS at the Fermi energy 0.889 states/eV per atom. Number 8: total energy -3.8914 eV per atom, spin magnetization 0.00 μB per cell, DOS at the Fermi energy 1.897 states/eV per atom. Number 9: total energy -11.1274 eV per atom, spin magnetization 0.00 μB per cell, DOS at the Fermi energy 0.328 states/eV per atom. Number 10: total energy -5.7235 eV per atom, spin magnetization 0.00 μB per cell, DOS at the Fermi energy 0.000 states/eV per atom. Number 11: total energy -5.1725 eV per atom, spin magnetization 1.97 μB per cell, DOS at the Fermi energy 0.711 states/eV per atom. Number 12: total energy -6.1563 eV per atom, spin magnetization 1.72 μB per cell, DOS at the Fermi energy 0.927 states/eV per atom.